Record 1
# Ba2FeAs

Ba2FeAs after structural relaxation (PBE, Alexandria via LeMat-Bulk).

POSCAR file:
```
Ba2FeAs
1.0
3.9312 0.0000 0.0000
0.0000 4.2100 0.0000
0.0000 0.0000 7.9972
Ba Fe As
2 1 1
direct
0.0000 0.0000 0.2273
0.0000 0.0000 0.7727
0.5000 0.5000 0.5000
0.5000 0.5000 0.0000
```

**Crystal system**: orthorhombic
**Formation enthalpy at 0 K**: 0.05 eV per formula unit
**Space group**: Pmmm, No. 47
**DOS(E_F)**: 4.58 states/eV/cell

=====

Record 2
# BaFe2As2

BaFe2As2 after structural relaxation (PBE, Alexandria via LeMat-Bulk).

POSCAR file:
```
BaFe2As2
1.0
-2.1089 2.1089 10.5570
2.1089 -2.1089 10.5570
2.1089 2.1089 -10.5570
Ba Fe As
2 4 4
direct
0.1256 0.1256 0.0000
0.8744 0.8744 0.0000
0.0000 0.5000 0.5000
0.3038 0.3038 0.0000
0.5000 0.0000 0.5000
0.6962 0.6962 0.0000
0.2500 0.7500 0.5000
0.4344 0.4344 0.0000
0.5656 0.5656 0.0000
0.7500 0.2500 0.5000
```

**Crystal system**: tetragonal
**Formation enthalpy at 0 K**: -0.57 eV per formula unit
**Space group**: I4/mmm, No. 139
**DOS(E_F)**: 14.53 states/eV/cell

=====

Record 3
# Ba2FeAs2

Ba2FeAs2 after structural relaxation (PBE, Alexandria via LeMat-Bulk).

POSCAR file:
```
Ba2FeAs2
1.0
6.6635 0.0000 0.0000
0.0000 6.6635 0.0000
0.0000 0.0000 5.4584
Ba Fe As
4 2 4
direct
0.1772 0.3228 0.0000
0.3228 0.8228 0.0000
0.6772 0.1772 0.0000
0.8228 0.6772 0.0000
0.0000 0.0000 0.5000
0.5000 0.5000 0.5000
0.1449 0.6449 0.5000
0.3551 0.1449 0.5000
0.6449 0.8551 0.5000
0.8551 0.3551 0.5000
```

**Crystal system**: tetragonal
**Formation enthalpy at 0 K**: -1.17 eV per formula unit
**Space group**: P4/mbm, No. 127
**DOS(E_F)**: 13.05 states/eV/cell

=====

Record 4
# BaFe2As

BaFe2As after structural relaxation (PBE, Alexandria via LeMat-Bulk).

POSCAR file:
```
BaFe2As
1.0
4.7427 0.0000 0.0000
0.0000 4.7427 0.0000
0.0000 0.0000 16.0898
Ba Fe As
4 8 4
direct
0.0000 0.2500 0.3750
0.0000 0.7500 0.6250
0.5000 0.2500 0.1250
0.5000 0.7500 0.8750
0.0000 0.0000 0.0000
0.0000 0.5000 0.0000
0.2500 0.2500 0.7500
0.2500 0.7500 0.2500
0.5000 0.0000 0.5000
0.5000 0.5000 0.5000
0.7500 0.2500 0.7500
0.7500 0.7500 0.2500
0.0000 0.2500 0.8750
0.0000 0.7500 0.1250
0.5000 0.2500 0.6250
0.5000 0.7500 0.3750
```

**Crystal system**: tetragonal
**Formation enthalpy at 0 K**: 1.08 eV per formula unit
**Space group**: I4_1/amd, No. 141
**DOS(E_F)**: 36.34 states/eV/cell